No. 1
! Li2YS PBE relaxed; values from VASP
! **Energy above the lowest structure with this stoichiometry**: 0.543 eV per atom
! **Total magnetic moment**: 0.000 μB per atom
! **SG**: No. 225
&SYSTEM
  ibrav = 0, nat = 4, ntyp = 3
/
ATOMIC_SPECIES
Li 6.94 Li.upf
Y 88.91 Y.upf
S 32.06 S.upf
ATOMIC_POSITIONS crystal
Li 0.7500 0.7500 0.7500
Li 0.2500 0.2500 0.2500
Y 0.5000 0.5000 0.5000
S 0.0000 0.0000 0.0000
CELL_PARAMETERS angstrom
0.0000 3.3043 3.3043
3.3043 0.0000 3.3043
3.3043 3.3043 0.0000

No. 2
! LiYS2 PBE relaxed; values from VASP
! **Total magnetic moment**: 0.000 μB per atom
! **SG**: No. 166
&SYSTEM
  ibrav = 0, nat = 4, ntyp = 3
/
ATOMIC_SPECIES
S 32.06 S.upf
Y 88.91 Y.upf
Li 6.94 Li.upf
ATOMIC_POSITIONS crystal
S 0.1017 0.1017 0.1017
S 0.8983 0.8983 0.8983
Y 0.5000 0.5000 0.5000
Li 0.0000 0.0000 0.0000
CELL_PARAMETERS angstrom
-7.4409 2.0930 0.9584
-7.5773 -1.3879 -1.1513
-7.0810 -1.4743 2.8900

No. 3
! LiYS2 PBE relaxed; values from VASP
! **Total magnetic moment**: 0.000 μB per atom
! **SG**: No. 141
&SYSTEM
  ibrav = 0, nat = 8, ntyp = 3
/
ATOMIC_SPECIES
S 32.06 S.upf
Li 6.94 Li.upf
Y 88.91 Y.upf
ATOMIC_POSITIONS crystal
S 0.7557 0.7557 0.0000
S 0.9943 0.4943 0.5000
S 0.2443 0.2443 0.0000
S 0.5057 0.0057 0.5000
Li 0.2500 0.7500 0.5000
Li 0.5000 0.5000 0.0000
Y 0.0000 0.0000 0.0000
Y 0.7500 0.2500 0.5000
CELL_PARAMETERS angstrom
6.7923 0.0172 0.0000
2.4095 6.3506 0.0000
-4.6009 -3.1839 3.8510

No. 4
! LiY5S6 PBE relaxed; values from VASP
! **Total magnetic moment**: 0.000 μB per atom
! **SG**: No. 12
&SYSTEM
  ibrav = 0, nat = 12, ntyp = 3
/
ATOMIC_SPECIES
Y 88.91 Y.upf
S 32.06 S.upf
Li 6.94 Li.upf
ATOMIC_POSITIONS crystal
Y 0.8343 0.1657 0.5000
Y 0.5000 0.5000 0.5000
Y 0.1657 0.8343 0.5000
Y 0.3342 0.6658 0.0000
Y 0.6658 0.3342 0.0000
S 0.0817 0.4076 0.2461
S 0.5924 0.9183 0.7539
S 0.7571 0.7571 0.2426
S 0.9183 0.5924 0.7539
S 0.2429 0.2429 0.7574
S 0.4076 0.0817 0.2461
Li 0.0000 0.0000 0.0000
CELL_PARAMETERS angstrom
6.6112 -1.0670 -0.8246
-2.5601 6.1880 -0.8246
-0.3927 -0.4964 6.7274

No. 5
! LiYS2 PBE relaxed; values from VASP
! **Total magnetic moment**: 0.000 μB per atom
! **SG**: No. 166
&SYSTEM
  ibrav = 0, nat = 4, ntyp = 3
/
ATOMIC_SPECIES
S 32.06 S.upf
Li 6.94 Li.upf
Y 88.91 Y.upf
ATOMIC_POSITIONS crystal
S 0.1130 0.1130 0.1130
S 0.8870 0.8870 0.8870
Li 0.5000 0.5000 0.5000
Y 0.0000 0.0000 0.0000
CELL_PARAMETERS angstrom
2.3719 0.0000 7.2894
-1.1860 2.0541 7.2894
-1.1860 -2.0541 7.2894

No. 6
! LiY2S2 PBE relaxed; values from VASP
! **Total magnetic moment**: 0.000 μB per atom
! **SG**: No. 127
&SYSTEM
  ibrav = 0, nat = 10, ntyp = 3
/
ATOMIC_SPECIES
Y 88.91 Y.upf
Li 6.94 Li.upf
S 32.06 S.upf
ATOMIC_POSITIONS crystal
Y 0.1563 0.6563 0.5000
Y 0.8437 0.3437 0.5000
Y 0.6563 0.8437 0.5000
Y 0.3437 0.1563 0.5000
Li 0.0000 0.0000 0.0000
Li 0.5000 0.5000 0.0000
S 0.6487 0.1487 0.0000
S 0.8513 0.6487 0.0000
S 0.3513 0.8513 0.0000
S 0.1487 0.3513 0.0000
CELL_PARAMETERS angstrom
7.3301 0.0000 0.0000
0.0000 7.3301 0.0000
0.0000 0.0000 3.7067

No. 7
! Li2Y2S PBE relaxed; values from VASP
! **Energy above the lowest structure with this stoichiometry**: 0.000 eV per atom
! **Total magnetic moment**: 0.000 μB per atom
! **SG**: No. 127
&SYSTEM
  ibrav = 0, nat = 10, ntyp = 3
/
ATOMIC_SPECIES
Y 88.91 Y.upf
Li 6.94 Li.upf
S 32.06 S.upf
ATOMIC_POSITIONS crystal
Y 0.3349 0.1651 0.5000
Y 0.1651 0.6651 0.5000
Y 0.8349 0.3349 0.5000
Y 0.6651 0.8349 0.5000
Li 0.1469 0.3531 0.0000
Li 0.8531 0.6469 0.0000
Li 0.3531 0.8531 0.0000
Li 0.6469 0.1469 0.0000
S 0.5000 0.5000 0.0000
S 0.0000 0.0000 0.0000
CELL_PARAMETERS angstrom
-3.7676 -4.8217 2.6056
4.1476 -0.4414 5.1803
-2.5984 3.3069 2.3622

No. 8
! LiYS2 PBE relaxed; values from VASP
! **Total magnetic moment**: 0.000 μB per atom
! **SG**: No. 225
&SYSTEM
  ibrav = 0, nat = 4, ntyp = 3
/
ATOMIC_SPECIES
S 32.06 S.upf
Y 88.91 Y.upf
Li 6.94 Li.upf
ATOMIC_POSITIONS crystal
S 0.2500 0.2500 0.2500
S 0.7500 0.7500 0.7500
Y 0.5000 0.5000 0.5000
Li 0.0000 0.0000 0.0000
CELL_PARAMETERS angstrom
0.0000 3.3352 3.3352
3.3352 0.0000 3.3352
3.3352 3.3352 0.0000

Per-record raw formation energy, eV per atom: -0.110 -1.708 -1.844 -1.966 -0.530 -1.457 -0.331 -1.549